[1]
## LaTlOs2 (meta-GGA SCAN)

Data for a PBEsol-optimized structure of LaTlOs2.

```
data_LaTlOs2
_chemical_formula_sum 'La1 Tl1 Os2'
_cell_length_a 3.007
_cell_length_b 4.657
_cell_length_c 5.679
_cell_angle_alpha 90.00
_cell_angle_beta 91.28
_cell_angle_gamma 90.00
_symmetry_space_group_name_H-M 'P 1 2/m 1'
_symmetry_Int_Tables_number 10
loop_
_symmetry_equiv_pos_as_xyz
'x,y,z'
'-x,-y,-z'
'-x,y,-z'
'x,-y,z'
loop_
_atom_site_label
_atom_site_type_symbol
_atom_site_fract_x
_atom_site_fract_y
_atom_site_fract_z
La1 La 0.000 0.000 0.000
Tl1 Tl 0.500 0.000 0.500
Os1 Os 0.296 0.500 0.204
```

Calculated values
E_form: 3.04 eV per formula unit
DFT total energy: -4.707 Ry/atom
polymorph energy (0 for the lowest one): 30 meV/atom
magnetization: 0.00 μB per cell

[2]
## Re2PtAu (meta-GGA SCAN)

Data for a PBEsol-optimized structure of Re2PtAu.

```
data_Re2PtAu
_chemical_formula_sum 'Re4 Pt2 Au2'
_cell_length_a 3.938
_cell_length_b 3.938
_cell_length_c 7.732
_cell_angle_alpha 90.00
_cell_angle_beta 90.00
_cell_angle_gamma 90.00
_symmetry_space_group_name_H-M 'I -4 m 2'
_symmetry_Int_Tables_number 119
_symmetry_space_group_name_Hall 'I -4 -2'
loop_
_atom_site_label
_atom_site_type_symbol
_atom_site_fract_x
_atom_site_fract_y
_atom_site_fract_z
Re1 Re 0.000 0.000 0.000
Re2 Re 0.000 0.500 0.250
Pt1 Pt 0.000 0.500 0.750
Au1 Au 0.000 0.000 0.500
```

Calculated values
E_form: 0.93 eV per formula unit
DFT total energy: -5.156 Ry/atom
polymorph energy (0 for the lowest one): 0 meV/atom
magnetization: 0.00 μB per cell

[3]
## YAgIr2 (meta-GGA SCAN)

Data for a PBEsol-optimized structure of YAgIr2.

```
data_YAgIr2
_chemical_formula_sum 'Y2 Ag2 Ir4'
_cell_length_a 3.968
_cell_length_b 4.181
_cell_length_c 8.221
_cell_angle_alpha 90.00
_cell_angle_beta 90.00
_cell_angle_gamma 90.00
_symmetry_space_group_name_H-M 'I m m 2'
_symmetry_Int_Tables_number 44
loop_
_symmetry_equiv_pos_as_xyz
'x,y,z'
'-x,-y,z'
'-x,y,z'
'x,-y,z'
'x+1/2,y+1/2,z+1/2'
'-x+1/2,-y+1/2,z+1/2'
'-x+1/2,y+1/2,z+1/2'
'x+1/2,-y+1/2,z+1/2'
loop_
_atom_site_label
_atom_site_type_symbol
_atom_site_fract_x
_atom_site_fract_y
_atom_site_fract_z
Y1 Y 0.000 0.000 0.000
Ag1 Ag 0.000 0.500 0.242
Ir1 Ir 0.000 0.000 0.489
Ir2 Ir 0.000 0.500 0.760
```

Calculated values
E_form: -0.46 eV per formula unit
DFT total energy: -3.709 Ry/atom
polymorph energy (0 for the lowest one): 78 meV/atom
magnetization: 0.01 μB per cell

[4]
## GaAs2SeO (meta-GGA SCAN)

Data for a PBEsol-optimized structure of GaAs2SeO.

```
data_GaAs2SeO
_chemical_formula_sum 'Ga1 As2 Se1 O1'
_cell_length_a 4.311
_cell_length_b 4.311
_cell_length_c 4.636
_cell_angle_alpha 90.00
_cell_angle_beta 90.00
_cell_angle_gamma 90.00
_symmetry_space_group_name_H-M 'P 4/m m m'
_symmetry_Int_Tables_number 123
_symmetry_space_group_name_Hall '-P 4 2'
loop_
_atom_site_label
_atom_site_type_symbol
_atom_site_fract_x
_atom_site_fract_y
_atom_site_fract_z
Ga1 Ga 0.000 0.000 0.000
As1 As 0.000 0.500 0.500
Se1 Se 0.500 0.500 0.000
O1 O 0.500 0.500 0.500
```

Calculated values
DFT total energy: -1.190 Ry/atom
raw formation energy: 0.42 eV/atom
magnetization: 0.00 μB per cell

[5]
## HgPb3S (meta-GGA SCAN)

Data for a PBEsol-optimized structure of HgPb3S.

```
data_HgPb3S
_chemical_formula_sum 'Hg1 Pb3 S1'
_cell_length_a 5.430
_cell_length_b 5.430
_cell_length_c 5.430
_cell_angle_alpha 90.00
_cell_angle_beta 90.00
_cell_angle_gamma 90.00
_symmetry_space_group_name_H-M 'P m -3 m'
_symmetry_Int_Tables_number 221
_symmetry_space_group_name_Hall '-P 4 2 3'
loop_
_atom_site_label
_atom_site_type_symbol
_atom_site_fract_x
_atom_site_fract_y
_atom_site_fract_z
Hg1 Hg 0.000 0.000 0.000
Pb1 Pb 0.000 0.500 0.500
S1 S 0.500 0.500 0.500
```

Calculated values
DFT total energy: -4.469 Ry/atom
raw formation energy: 0.23 eV/atom
magnetization: 0.00 μB per cell

[6]
## EuAu3 (meta-GGA SCAN)

Data for a PBEsol-optimized structure of EuAu3.

```
data_EuAu3
_chemical_formula_sum 'Eu4 Au12'
_cell_length_a 6.876
_cell_length_b 6.876
_cell_length_c 6.876
_cell_angle_alpha 90.00
_cell_angle_beta 90.00
_cell_angle_gamma 90.00
_symmetry_space_group_name_H-M 'F m -3 m'
_symmetry_Int_Tables_number 225
_symmetry_space_group_name_Hall '-F 4 2 3'
loop_
_atom_site_label
_atom_site_type_symbol
_atom_site_fract_x
_atom_site_fract_y
_atom_site_fract_z
Eu1 Eu 0.000 0.000 0.000
Au1 Au 0.000 0.000 0.500
Au2 Au 0.250 0.250 0.250
```

Calculated values
E_form: -2.46 eV per formula unit
DFT total energy: -4.844 Ry/atom
magnetization: 27.26 μB per cell